Entry from Alexandria: Ba2LaZr at its PBEsol-relaxed geometry (SCAN).

The structure belongs to space group I4/mmm (No. 139); the cell edges are 5.130, 5.130 and 10.912 Å and the angles 90.00°, 90.00° and 90.00°. The inequivalent atoms are Ba at (0.000, 0.500, 0.250), La at (0.000, 0.000, 0.000) and Zr at (0.000, 0.000, 0.500).

As for the volume: 35.89 A^3/atom. For the energy above the lowest structure with this stoichiometry, the calculation gives 0.0344 eV per atom. For the spin magnetization, the calculation gives 0.000 μB/atom. Its calculated formation energy is 600 meV/atom.



Entry from Alexandria: BaLa2Zr at its PBEsol-relaxed geometry (SCAN).

The structure belongs to space group I-4m2 (No. 119); the cell edges are 5.073, 5.073 and 10.056 Å and the angles 90.00°, 90.00° and 90.00°. The inequivalent atoms are Ba at (0.000, 0.000, 0.000), La at (0.000, 0.000, 0.500), La at (0.000, 0.500, 0.250) and Zr at (0.000, 0.500, 0.750).

As for the volume: 32.35 A^3/atom. For the spin magnetization, the calculation gives 0.000 μB/atom. Its calculated formation energy is 419 meV/atom.



Entry from Alexandria: Ba2LaZr at its PBEsol-relaxed geometry (SCAN).

The structure belongs to space group I-4m2 (No. 119); the cell edges are 5.376, 5.376 and 9.890 Å and the angles 90.00°, 90.00° and 90.00°. The inequivalent atoms are Ba at (0.000, 0.000, 0.000), Ba at (0.000, 0.500, 0.250), La at (0.000, 0.000, 0.500) and Zr at (0.000, 0.500, 0.750).

As for the volume: 35.73 A^3/atom. For the energy above the lowest structure with this stoichiometry, the calculation gives 0.0000 eV per atom. For the spin magnetization, the calculation gives 0.341 μB/atom. Its calculated formation energy is 565 meV/atom.



Entry from Alexandria: Ba3Li at its PBEsol-relaxed geometry (SCAN).

The structure belongs to space group Cmcm (No. 63); the cell edges are 10.884, 13.346 and 5.574 Å and the angles 90.00°, 90.00° and 90.00°. The inequivalent atoms are Ba at (0.000, 0.112, 0.250), Ba at (0.209, 0.378, 0.250) and Li at (0.000, 0.308, 0.750).

As for the volume: 50.61 A^3/atom. For the spin magnetization, the calculation gives 0.010 μB/atom. Its calculated formation energy is 64 meV/atom.



Entry from Alexandria: BaLi at its PBEsol-relaxed geometry (SCAN).

The structure belongs to space group R-3m (No. 166, hexagonal axes); the cell edges are 4.8481, 4.8481 and 25.8346 Å and the angles 90.00°, 90.00° and 120.00°. The inequivalent atoms are Ba at (0.0000, 0.0000, 0.0957) and Li at (0.0000, 0.0000, 0.3333).

As for the volume: 43.82 A^3/atom. For the energy above the lowest structure with this stoichiometry, the calculation gives 0.0491 eV per atom. For the spin magnetization, the calculation gives 0.032 μB/atom. Its calculated formation energy is 69 meV/atom.



Entry from Alexandria: BaLi5 at its PBEsol-relaxed geometry (SCAN).

The structure belongs to space group F-43m (No. 216); the cell edges are 8.642, 8.642 and 8.642 Å and the angles 90.00°, 90.00° and 90.00°. The inequivalent atoms are Ba at (0.000, 0.000, 0.000), Li at (0.123, 0.123, 0.377) and Li at (0.250, 0.250, 0.750).

As for the volume: 26.89 A^3/atom. For the energy above the lowest structure with this stoichiometry, the calculation gives 0.0193 eV per atom. For the spin magnetization, the calculation gives 0.157 μB/atom. Its calculated formation energy is 25 meV/atom.



Entry from Alexandria: BaLi3 at its PBEsol-relaxed geometry (SCAN).

The structure belongs to space group R-3m (No. 166, hexagonal axes); the cell edges are 5.0073, 5.0073 and 18.1561 Å and the angles 90.00°, 90.00° and 120.00°. The inequivalent atoms are Ba at (0.0000, 0.0000, 0.0000), Li at (0.0000, 0.0000, 0.1989) and Li at (0.0000, 0.0000, 0.5000).

As for the volume: 32.85 A^3/atom. For the spin magnetization, the calculation gives 0.003 μB/atom. Its calculated formation energy is 53 meV/atom.



Entry from Alexandria: Ba2Li at its PBEsol-relaxed geometry (SCAN).

The structure belongs to space group P6_3/mmc (No. 194); the cell edges are 6.3699, 6.3699 and 7.9306 Å and the angles 90.00°, 90.00° and 120.00°. The inequivalent atoms are Ba at (0.0000, 0.0000, 0.0000), Ba at (0.3333, 0.6667, 0.2500) and Li at (0.3333, 0.6667, 0.7500).

As for the volume: 46.45 A^3/atom. For the energy above the lowest structure with this stoichiometry, the calculation gives 0.0408 eV per atom. For the spin magnetization, the calculation gives 0.227 μB/atom. Its calculated formation energy is 62 meV/atom.



Entry from Alexandria: Ba2Li at its PBEsol-relaxed geometry (SCAN).

The structure belongs to space group P-62m (No. 189); the cell edges are 9.9209, 9.9209 and 4.9628 Å and the angles 90.00°, 90.00° and 120.00°. The inequivalent atoms are Ba at (0.0000, 0.2567, 0.0000), Ba at (0.0000, 0.5958, 0.5000), Li at (0.0000, 0.0000, 0.5000) and Li at (0.3333, 0.6667, 0.0000).

As for the volume: 47.00 A^3/atom. For the energy above the lowest structure with this stoichiometry, the calculation gives 0.0233 eV per atom. For the spin magnetization, the calculation gives 0.003 μB/atom. Its calculated formation energy is 44 meV/atom.



Entry from Alexandria: Ba2Li at its PBEsol-relaxed geometry (SCAN).

The structure belongs to space group I4/mmm (No. 139); the cell edges are 4.321, 4.321 and 14.906 Å and the angles 90.00°, 90.00° and 90.00°. The inequivalent atoms are Ba at (0.000, 0.000, 0.140) and Li at (0.000, 0.000, 0.500).

As for the volume: 46.39 A^3/atom. For the energy above the lowest structure with this stoichiometry, the calculation gives 0.0000 eV per atom. For the spin magnetization, the calculation gives 0.036 μB/atom. Its calculated formation energy is 21 meV/atom.



Entry from Alexandria: BaLi5 at its PBEsol-relaxed geometry (SCAN).

The structure belongs to space group P6/mmm (No. 191); the cell edges are 6.3248, 6.3248 and 4.8358 Å and the angles 90.00°, 90.00° and 120.00°. The inequivalent atoms are Ba at (0.0000, 0.0000, 0.0000), Li at (0.0000, 0.5000, 0.5000) and Li at (0.3333, 0.6667, 0.0000).

As for the volume: 27.92 A^3/atom. For the energy above the lowest structure with this stoichiometry, the calculation gives 0.0000 eV per atom. For the spin magnetization, the calculation gives 0.163 μB/atom. Its calculated formation energy is 6 meV/atom.



Entry from Alexandria: BaLi at its PBEsol-relaxed geometry (SCAN).

The structure belongs to space group Cmcm (No. 63); the cell edges are 4.881, 13.359 and 5.230 Å and the angles 90.00°, 90.00° and 90.00°. The inequivalent atoms are Ba at (0.000, 0.146, 0.250) and Li at (0.000, 0.438, 0.250).

As for the volume: 42.62 A^3/atom. For the energy above the lowest structure with this stoichiometry, the calculation gives 0.0148 eV per atom. For the spin magnetization, the calculation gives 0.075 μB/atom. Its calculated formation energy is 35 meV/atom.



Entry from Alexandria: BaLi5 at its PBEsol-relaxed geometry (SCAN).

The structure belongs to space group P4/mmm (No. 123); the cell edges are 3.794, 3.794 and 11.057 Å and the angles 90.00°, 90.00° and 90.00°. The inequivalent atoms are Ba at (0.000, 0.000, 0.000), Li at (0.000, 0.000, 0.359), Li at (0.500, 0.500, 0.232) and Li at (0.500, 0.500, 0.500).

As for the volume: 26.53 A^3/atom. For the energy above the lowest structure with this stoichiometry, the calculation gives 0.0331 eV per atom. For the spin magnetization, the calculation gives 0.012 μB/atom. Its calculated formation energy is 39 meV/atom.



Entry from Alexandria: Ba3Li at its PBEsol-relaxed geometry (SCAN).

The structure belongs to space group Pmm2 (No. 25); the cell edges are 4.640, 6.560 and 6.561 Å and the angles 90.00°, 90.00° and 90.00°. The inequivalent atoms are Ba at (0.000, 0.000, 0.000), Ba at (0.000, 0.500, 0.494), Ba at (0.500, 0.000, 0.501) and Li at (0.500, 0.500, 0.993).

As for the volume: 49.93 A^3/atom. For the spin magnetization, the calculation gives 0.000 μB/atom. Its calculated formation energy is 87 meV/atom.



Entry from Alexandria: BaLi at its PBEsol-relaxed geometry (SCAN).

The structure belongs to space group Pm-3m (No. 221); the cell edges are 4.343, 4.343 and 4.343 Å and the angles 90.00°, 90.00° and 90.00°. The inequivalent atoms are Ba at (0.000, 0.000, 0.000) and Li at (0.500, 0.500, 0.500).

As for the volume: 40.95 A^3/atom. For the energy above the lowest structure with this stoichiometry, the calculation gives 0.0000 eV per atom. For the spin magnetization, the calculation gives 0.081 μB/atom. Its calculated formation energy is 20 meV/atom.



Entry from Alexandria: BaLi at its PBEsol-relaxed geometry (SCAN).

The structure belongs to space group P-6m2 (No. 187); the cell edges are 4.1508, 4.1508 and 5.6761 Å and the angles 90.00°, 90.00° and 120.00°. The inequivalent atoms are Ba at (0.0000, 0.0000, 0.0000) and Li at (0.6667, 0.3333, 0.5000).

As for the volume: 42.35 A^3/atom. For the energy above the lowest structure with this stoichiometry, the calculation gives 0.1301 eV per atom. For the spin magnetization, the calculation gives 0.424 μB/atom. Its calculated formation energy is 150 meV/atom.



Entry from Alexandria: BaLi at its PBEsol-relaxed geometry (SCAN).

The structure belongs to space group Imma (No. 74); the cell edges are 4.128, 6.110 and 12.535 Å and the angles 90.00°, 90.00° and 90.00°. The inequivalent atoms are Ba at (0.000, 0.250, 0.101) and Li at (0.000, 0.250, 0.663).

As for the volume: 39.52 A^3/atom. For the energy above the lowest structure with this stoichiometry, the calculation gives 0.0228 eV per atom. For the spin magnetization, the calculation gives 0.091 μB/atom. Its calculated formation energy is 43 meV/atom.



Entry from Alexandria: Ba5Li at its PBEsol-relaxed geometry (SCAN).

The structure belongs to space group C2/m (No. 12); the cell edges are 14.749, 4.371 and 10.464 Å and the angles 90.00°, 111.30° and 90.00°. The inequivalent atoms are Ba at (0.000, 0.000, 0.000), Ba at (0.136, 0.500, 0.365), Ba at (0.171, 0.500, 0.796) and Li at (0.000, 0.000, 0.500).

As for the volume: 52.38 A^3/atom. For the energy above the lowest structure with this stoichiometry, the calculation gives 0.0081 eV per atom. For the spin magnetization, the calculation gives 0.113 μB/atom. Its calculated formation energy is 36 meV/atom.



Entry from Alexandria: Ba3Li at its PBEsol-relaxed geometry (SCAN).

The structure belongs to space group Pm-3m (No. 221); the cell edges are 6.628, 6.628 and 6.628 Å and the angles 90.00°, 90.00° and 90.00°. The inequivalent atoms are Ba at (0.000, 0.000, 0.500) and Li at (0.000, 0.000, 0.000).

As for the volume: 72.78 A^3/atom. For the spin magnetization, the calculation gives 0.114 μB/atom. Its calculated formation energy is 438 meV/atom.



Entry from Alexandria: BaLi3 at its PBEsol-relaxed geometry (SCAN).

The structure belongs to space group Pmmn (No. 59, origin choice 2); the cell edges are 5.204, 6.894 and 7.044 Å and the angles 90.00°, 90.00° and 90.00°. The inequivalent atoms are Ba at (0.250, 0.250, 0.112), Li at (0.250, 0.029, 0.611) and Li at (0.250, 0.750, 0.301).

As for the volume: 31.59 A^3/atom. For the spin magnetization, the calculation gives 0.052 μB/atom. Its calculated formation energy is 37 meV/atom.